--- 1 ---
The following is a DFT calculation (GGA-PBE) of a relaxed Lu2PaRu crystal.

Calculated values
- crystal system = trigonal
- spin magnetization (μB per cell) = 0.00
- space group = R-3m, No. 166

Lattice parameters (Å, degrees): 3.2172 3.2172 10.6790 81.34 81.34 60.00
Closest atoms and distances in Å follow each position.
Sites, in units of the cell vectors:
Lu 0.8980 0.8980 0.3059  3 Ru 2.76
Lu 0.1020 0.1020 0.6941  3 Ru 2.76
Ru 0.5000 0.5000 0.5000  6 Lu 2.76
Pa 0.0000 0.0000 0.0000  2 Lu 3.22, 6 Pa 3.22

--- 2 ---
The following is a DFT calculation (GGA-PBE) of a relaxed Lu2PaRu crystal.

Calculated values
- crystal system = tetragonal
- spin magnetization (μB per cell) = 0.79
- space group = P4/mmm, No. 123

Lattice parameters (Å, degrees): 3.3084 3.3084 8.4389 90.00 90.00 90.00
Closest atoms and distances in Å follow each position.
Sites, in units of the cell vectors:
Lu 0.0000 0.0000 0.1928  4 Ru 2.85
Lu 0.0000 0.0000 0.8072  4 Ru 2.85
Ru 0.5000 0.5000 0.0000  8 Lu 2.85
Pa 0.5000 0.5000 0.5000  4 Pa 3.31, 8 Lu 3.49

Energy above the most stable structure, in kJ/mol of atoms: 1 25.9; 2 0.0

--- 1 ---
The following is a DFT calculation (GGA-PBE) of a relaxed LuPa2Sb crystal.

Calculated values
- crystal system = trigonal
- spin magnetization (μB per cell) = 0.00
- space group = R-3m, No. 166

Lattice parameters (Å, degrees): 3.2463 3.2463 12.1912 82.35 82.35 60.00
Closest atoms and distances in Å follow each position.
Sites, in units of the cell vectors:
Pa 0.9132 0.9132 0.2603  1 Sb 3.14, 6 Pa 3.25, 3 Lu 3.44
Pa 0.0868 0.0868 0.7397  1 Sb 3.14, 6 Pa 3.25, 3 Lu 3.44
Sb 0.0000 0.0000 0.0000  2 Pa 3.14, 6 Sb 3.25
Lu 0.5000 0.5000 0.5000  6 Lu 3.25, 6 Pa 3.44

--- 2 ---
The following is a DFT calculation (GGA-PBE) of a relaxed LuPa2Sb crystal.

Calculated values
- crystal system = tetragonal
- spin magnetization (μB per cell) = 0.10
- space group = P4/mmm, No. 123

Lattice parameters (Å, degrees): 5.0355 4.4362 4.4362 90.00 90.00 90.00
Closest atoms and distances in Å follow each position.
Sites, in units of the cell vectors:
Lu 0.5000 0.0000 0.0000  4 Sb 3.14, 8 Pa 3.36
Pa 0.0000 0.0000 0.5000  4 Pa 3.14, 4 Sb 3.36, 4 Lu 3.36
Pa 0.0000 0.5000 0.0000  4 Pa 3.14, 4 Sb 3.36, 4 Lu 3.36
Sb 0.5000 0.5000 0.5000  4 Lu 3.14, 8 Pa 3.36

Energy above the most stable structure, in kJ/mol of atoms: 1 49.1; 2 0.0

--- 1 ---
The following is a DFT calculation (GGA-PBE) of a relaxed Lu2PaSb crystal.

Calculated values
- crystal system = tetragonal
- spin magnetization (μB per cell) = 0.00
- space group = P4/mmm, No. 123

Lattice parameters (Å, degrees): 3.8011 3.8011 7.1693 90.00 90.00 90.00
Closest atoms and distances in Å follow each position.
Sites, in units of the cell vectors:
Lu 0.0000 0.0000 0.2287  4 Sb 3.15, 1 Lu 3.28, 4 Pa 3.32
Lu 0.0000 0.0000 0.7713  4 Sb 3.15, 1 Lu 3.28, 4 Pa 3.32
Sb 0.5000 0.5000 0.0000  8 Lu 3.15
Pa 0.5000 0.5000 0.5000  8 Lu 3.32, 2 Sb 3.58

--- 2 ---
The following is a DFT calculation (GGA-PBE) of a relaxed Lu2PaSb crystal.

Calculated values
- crystal system = tetragonal
- spin magnetization (μB per cell) = 0.00
- space group = P4/mmm, No. 123

Lattice parameters (Å, degrees): 4.5089 4.7532 4.7532 90.00 90.00 90.00
Closest atoms and distances in Å follow each position.
Sites, in units of the cell vectors:
Lu 0.0000 0.0000 0.5000  4 Sb 3.28, 4 Pa 3.28, 4 Lu 3.36
Lu 0.0000 0.5000 0.0000  4 Sb 3.28, 4 Pa 3.28, 4 Lu 3.36
Pa 0.5000 0.5000 0.5000  8 Lu 3.28, 4 Sb 3.36
Sb 0.5000 0.0000 0.0000  8 Lu 3.28, 4 Pa 3.36

Energy above the most stable structure, in kJ/mol of atoms: 1 0.0; 2 3.0

--- 1 ---
The following is a DFT calculation (GGA-PBE) of a relaxed Lu2ScPa crystal.

Calculated values
- crystal system = tetragonal
- spin magnetization (μB per cell) = 0.01
- space group = P4/mmm, No. 123

Lattice parameters (Å, degrees): 3.5240 5.5297 5.5297 90.00 90.00 90.00
Closest atoms and distances in Å follow each position.
Sites, in units of the cell vectors:
Sc 0.5000 0.0000 0.0000  8 Lu 3.28, 2 Sc 3.52
Lu 0.0000 0.0000 0.5000  4 Pa 3.28, 4 Sc 3.28, 2 Lu 3.52
Lu 0.0000 0.5000 0.0000  4 Pa 3.28, 4 Sc 3.28, 2 Lu 3.52
Pa 0.5000 0.5000 0.5000  8 Lu 3.28, 2 Pa 3.52

--- 2 ---
The following is a DFT calculation (GGA-PBE) of a relaxed Lu2ScPa crystal.

Calculated values
- crystal system = tetragonal
- spin magnetization (μB per cell) = 0.17
- space group = P4/mmm, No. 123

Lattice parameters (Å, degrees): 3.3034 3.3034 9.8457 90.00 90.00 90.00
Closest atoms and distances in Å follow each position.
Sites, in units of the cell vectors:
Pa 0.5000 0.5000 0.0000  4 Pa 3.30, 8 Lu 3.37
Lu 0.0000 0.0000 0.7531  4 Lu 3.30, 4 Pa 3.37, 4 Sc 3.42
Lu 0.0000 0.0000 0.2469  4 Lu 3.30, 4 Pa 3.37, 4 Sc 3.42
Sc 0.5000 0.5000 0.5000  4 Sc 3.30, 8 Lu 3.42

Energy above the most stable structure, in kJ/mol of atoms: 1 13.6; 2 0.0

--- 1 ---
The following is a DFT calculation (GGA-PBE) of a relaxed LuPa2Si crystal.

Calculated values
- crystal system = tetragonal
- spin magnetization (μB per cell) = 0.00
- space group = P4/mmm, No. 123

Lattice parameters (Å, degrees): 4.8570 4.2820 4.2820 90.00 90.00 90.00
Closest atoms and distances in Å follow each position.
Sites, in units of the cell vectors:
Pa 0.0000 0.0000 0.5000  4 Pa 3.03, 4 Si 3.24, 4 Lu 3.24
Pa 0.0000 0.5000 0.0000  4 Pa 3.03, 4 Si 3.24, 4 Lu 3.24
Si 0.5000 0.0000 0.0000  4 Lu 3.03, 8 Pa 3.24
Lu 0.5000 0.5000 0.5000  4 Si 3.03, 8 Pa 3.24

--- 2 ---
The following is a DFT calculation (GGA-PBE) of a relaxed LuPa2Si crystal.

Calculated values
- crystal system = trigonal
- spin magnetization (μB per cell) = 0.00
- space group = R-3m, No. 166

Lattice parameters (Å, degrees): 3.1641 3.1641 11.2147 81.89 81.89 60.00
Closest atoms and distances in Å follow each position.
Sites, in units of the cell vectors:
Si 0.5000 0.5000 0.5000  6 Pa 2.99, 6 Si 3.16
Pa 0.0954 0.0954 0.7138  3 Si 2.99, 6 Pa 3.16, 1 Lu 3.17
Pa 0.9046 0.9046 0.2862  3 Si 2.99, 6 Pa 3.16, 1 Lu 3.17
Lu 0.0000 0.0000 0.0000  6 Lu 3.16, 2 Pa 3.17

Energy above the most stable structure, in kJ/mol of atoms: 1 0.0; 2 37.3

--- 1 ---
The following is a DFT calculation (GGA-PBE) of a relaxed Sm2LuPa crystal.

Calculated values
- crystal system = tetragonal
- spin magnetization (μB per cell) = 0.00
- space group = P4/mmm, No. 123

Lattice parameters (Å, degrees): 4.8888 4.9543 4.9543 90.00 90.00 90.00
Closest atoms and distances in Å follow each position.
Sites, in units of the cell vectors:
Sm 0.0000 0.5000 0.0000  4 Pa 3.48, 4 Lu 3.48, 4 Sm 3.50
Sm 0.0000 0.0000 0.5000  4 Pa 3.48, 4 Lu 3.48, 4 Sm 3.50
Lu 0.5000 0.0000 0.0000  8 Sm 3.48, 4 Pa 3.50
Pa 0.5000 0.5000 0.5000  8 Sm 3.48, 4 Lu 3.50

--- 2 ---
The following is a DFT calculation (GGA-PBE) of a relaxed Sm2LuPa crystal.

Calculated values
- crystal system = tetragonal
- spin magnetization (μB per cell) = 0.00
- space group = P4/mmm, No. 123

Lattice parameters (Å, degrees): 3.4267 3.4267 10.2560 90.00 90.00 90.00
Closest atoms and distances in Å follow each position.
Sites, in units of the cell vectors:
Pa 0.5000 0.5000 0.0000  8 Sm 3.43, 4 Pa 3.43
Sm 0.0000 0.0000 0.2361  4 Pa 3.43, 4 Sm 3.43, 4 Lu 3.63
Sm 0.0000 0.0000 0.7639  4 Pa 3.43, 4 Sm 3.43, 4 Lu 3.63
Lu 0.5000 0.5000 0.5000  4 Lu 3.43, 8 Sm 3.63

Energy above the most stable structure, in kJ/mol of atoms: 1 7.1; 2 0.0

--- 1 ---
The following is a DFT calculation (GGA-PBE) of a relaxed LuPaSn crystal.

Calculated values
- crystal system = tetragonal
- spin magnetization (μB per cell) = 0.00
- space group = I4mm, No. 107

Lattice parameters (Å, degrees): 3.2784 3.2784 7.6225 102.42 102.42 90.00
Closest atoms and distances in Å follow each position.
Sites, in units of the cell vectors:
Lu 0.9960 0.9960 0.9920  4 Lu 3.28, 4 Sn 3.30, 4 Pa 3.43
Pa 0.6698 0.6698 0.3395  4 Pa 3.28, 4 Sn 3.33, 4 Lu 3.43
Sn 0.3342 0.3342 0.6685  4 Sn 3.28, 4 Lu 3.30, 4 Pa 3.33

--- 2 ---
The following is a DFT calculation (GGA-PBE) of a relaxed LuPaSn crystal.

Calculated values
- crystal system = trigonal
- spin magnetization (μB per cell) = 0.91
- space group = P3m1, No. 156

Lattice parameters (Å, degrees): 3.3652 5.2357 5.2357 120.00 90.00 90.00
Closest atoms and distances in Å follow each position.
Sites, in units of the cell vectors:
Pa 0.3665 0.3333 0.6667  3 Sn 3.27, 2 Pa 3.37, 6 Lu 3.41-3.51
Sn 0.7346 0.6667 0.3333  3 Lu 3.07, 3 Pa 3.27, 2 Sn 3.37
Lu 0.8989 0.0000 0.0000  3 Sn 3.07, 2 Lu 3.37, 3 Pa 3.41

Energy above the most stable structure, in kJ/mol of atoms: 1 0.0; 2 14.3